No. 1
Y2MgRuC, optimized geometry, DFT GGA-PBE; crystal system = tetragonal; formation enthalpy at 0 K = -0.321 eV/atom; space group = P4/mmm
1.0
5.033 0.000 0.000
0.000 5.033 0.000
0.000 0.000 3.952
Y Ru Mg C
2 1 1 1
direct
0.500 0.000 0.000 Y
0.000 0.500 0.000 Y
0.000 0.000 0.500 Ru
0.500 0.500 0.500 Mg
0.000 0.000 0.000 C

---

No. 2
Mg2ZnRuC, optimized geometry, DFT GGA-PBE; crystal system = tetragonal; formation enthalpy at 0 K = 0.104 eV/atom; space group = P4/mmm
1.0
4.368 0.000 0.000
0.000 4.368 0.000
0.000 0.000 3.932
Zn Mg Ru C
1 2 1 1
direct
0.500 0.500 0.500 Zn
0.000 0.500 0.000 Mg
0.500 0.000 0.000 Mg
0.000 0.000 0.500 Ru
0.000 0.000 0.000 C

---

No. 3
MgC2S, optimized geometry, DFT GGA-PBE; crystal system = tetragonal; energy above the most stable polymorph in this dataset = 0 meV/atom; space group = I-42d
1.0
-1.814 -1.593 -4.346
4.520 0.395 -2.032
2.062 -3.941 -2.260
S C Mg
2 4 2
direct
0.000 0.000 0.000 S
0.750 0.250 0.500 S
0.375 0.295 0.750 C
0.875 0.955 0.750 C
0.045 0.625 0.250 C
0.705 0.125 0.250 C
0.250 0.750 0.500 Mg
0.500 0.500 0.000 Mg

---

No. 4
MgCS2, optimized geometry, DFT GGA-PBE; crystal system = cubic; energy above the most stable polymorph in this dataset = 969 meV/atom; space group = Fm-3m
1.0
0.000 3.105 3.105
3.105 0.000 3.105
3.105 3.105 0.000
Mg C S
1 1 2
direct
0.500 0.500 0.500 Mg
0.000 0.000 0.000 C
0.750 0.750 0.750 S
0.250 0.250 0.250 S

---

No. 5
Mg3CS, optimized geometry, DFT GGA-PBE; crystal system = cubic; energy above the most stable polymorph in this dataset = 0 meV/atom; space group = Pm-3m
1.0
4.316 0.000 0.000
0.000 4.316 0.000
0.000 0.000 4.316
S Mg C
1 3 1
direct
0.500 0.500 0.500 S
0.000 0.500 0.000 Mg
0.000 0.000 0.500 Mg
0.500 0.000 0.000 Mg
0.000 0.000 0.000 C

---

No. 6
MgCS2, optimized geometry, DFT GGA-PBE; crystal system = trigonal; energy above the most stable polymorph in this dataset = 0 meV/atom; space group = R-3m
1.0
2.210 0.000 6.021
-1.105 1.914 6.021
-1.105 -1.914 6.021
S C Mg
2 1 1
direct
0.911 0.911 0.911 S
0.089 0.089 0.089 S
0.000 0.000 0.000 C
0.500 0.500 0.500 Mg

---

No. 7
MgCS2, optimized geometry, DFT GGA-PBE; crystal system = trigonal; energy above the most stable polymorph in this dataset = 854 meV/atom; space group = R-3m
1.0
1.593 -6.912 3.811
4.369 -5.729 3.597
2.543 -4.901 5.862
S C Mg
2 1 1
direct
0.114 0.114 0.114 S
0.886 0.886 0.886 S
0.500 0.500 0.500 C
0.000 0.000 0.000 Mg

---

No. 8
Mg2CS, optimized geometry, DFT GGA-PBE; crystal system = tetragonal; energy above the most stable polymorph in this dataset = 0 meV/atom; space group = I-42d
1.0
-5.032 3.459 0.138
-0.179 -0.016 -6.105
-4.751 -1.404 -2.913
S Mg C
2 4 2
direct
0.000 0.000 0.000 S
0.750 0.250 0.500 S
0.875 0.840 0.750 Mg
0.590 0.125 0.250 Mg
0.375 0.410 0.750 Mg
0.160 0.625 0.250 Mg
0.500 0.500 0.000 C
0.250 0.750 0.500 C

---

Number 1: calculated density 5.23 g cm⁻³. Number 2: calculated density 5.03 g cm⁻³. Number 3: calculated density 3.05 g cm⁻³. Number 4: calculated density 2.79 g cm⁻³. Number 5: calculated density 2.42 g cm⁻³. Number 6: calculated density 2.18 g cm⁻³. Number 7: calculated density 2.68 g cm⁻³. Number 8: calculated density 2.18 g cm⁻³.